First-principles (PBE) data for a relaxed HfScSb2 crystal, as listed in the Alexandria database.

a = 5.8389 Å, b = 5.8389 Å, c = 7.1474 Å
α = 114.11°, β = 114.11°, γ = 90.00°
Element x y z (fractional)
Hf: 0.7500 0.2500 0.5000
Hf: 0.0000 0.0000 0.0000
Sc: 0.5000 0.5000 0.0000
Sc: 0.2500 0.7500 0.5000
Sb: 0.7499 0.7499 0.4998
Sb: 0.4999 0.9999 0.9998
Sb: 0.2501 0.2501 0.5002
Sb: 0.0001 0.5001 0.0002

Summary:
Relative energy among the computed polymorphs: 4.7 meV per atom
Symmetry: No. 141


First-principles (PBE) data for a relaxed Dy8Zn2Tc crystal, as listed in the Alexandria database.

a = 5.1955 Å, b = 6.8062 Å, c = 9.0423 Å
α = 107.88°, β = 106.70°, γ = 90.00°
Element x y z (fractional)
Dy: 0.4079 0.5637 0.8158
Dy: 0.6614 0.9657 0.3229
Dy: 0.8046 0.6971 0.6092
Dy: 0.9740 0.2093 0.9480
Dy: 0.1954 0.3029 0.3908
Dy: 0.3386 0.0343 0.6771
Dy: 0.5921 0.4363 0.1842
Dy: 0.0260 0.7907 0.0520
Zn: 0.8169 0.2892 0.6337
Zn: 0.1831 0.7108 0.3663
Tc: 0.5000 0.0000 0.0000

Summary:
Relative energy among the computed polymorphs: 0.0 meV per atom
Symmetry: No. 12


First-principles (PBE) data for a relaxed BeHg3Mo crystal, as listed in the Alexandria database.

a = 4.7174 Å, b = 4.7174 Å, c = 4.7174 Å
α = 90.00°, β = 90.00°, γ = 90.00°
Last column: magnetic moment on the atom in μB.
Element x y z (fractional)
Be: 0.0000 0.0000 0.0000  0.00
Mo: 0.5000 0.5000 0.5000  3.19
Hg: 0.0000 0.5000 0.0000  -0.01
Hg: 0.0000 0.0000 0.5000  -0.01
Hg: 0.5000 0.0000 0.0000  -0.01

Summary:
Relative energy among the computed polymorphs: 0.0 meV per atom
Symmetry: No. 221


First-principles (PBE) data for a relaxed Be2CdSiPt crystal, as listed in the Alexandria database.

a = 4.1105 Å, b = 5.1524 Å, c = 4.1105 Å
α = 90.00°, β = 90.00°, γ = 90.00°
Element x y z (fractional)
Be: 0.0000 0.0000 0.5000
Be: 0.5000 0.0000 0.0000
Si: 0.0000 0.0000 0.0000
Pt: 0.5000 0.5000 0.5000
Cd: 0.0000 0.5000 0.0000

Summary:
Symmetry: No. 123


First-principles (PBE) data for a relaxed CuHg2PbBr crystal, as listed in the Alexandria database.

a = 5.1320 Å, b = 5.1320 Å, c = 5.4335 Å
α = 90.00°, β = 90.00°, γ = 90.00°
Element x y z (fractional)
Pb: 0.0000 0.0000 0.5000
Cu: 0.0000 0.0000 0.0000
Hg: 0.0000 0.5000 0.0000
Hg: 0.5000 0.0000 0.0000
Br: 0.5000 0.5000 0.5000

Summary:
Symmetry: No. 123


First-principles (PBE) data for a relaxed NdYTlGe crystal, as listed in the Alexandria database.

a = 5.3056 Å, b = 5.3056 Å, c = 5.3056 Å
α = 60.00°, β = 60.00°, γ = 60.00°
Element x y z (fractional)
Y: 0.5000 0.5000 0.5000
Tl: 0.7500 0.7500 0.7500
Nd: 0.0000 0.0000 0.0000
Ge: 0.2500 0.2500 0.2500

Summary:
Symmetry: No. 216


First-principles (PBE) data for a relaxed LiOs2Pb crystal, as listed in the Alexandria database.

a = 10.5501 Å, b = 10.5501 Å, c = 10.5501 Å
α = 15.25°, β = 15.25°, γ = 15.25°
Element x y z (fractional)
Li: 0.7500 0.7500 0.7500
Os: 0.0108 0.0108 0.0108
Os: 0.4892 0.4892 0.4892
Pb: 0.2500 0.2500 0.2500

Summary:
Symmetry: No. 166


First-principles (PBE) data for a relaxed Ce3ErTh4S8 crystal, as listed in the Alexandria database.

a = 7.9708 Å, b = 8.0808 Å, c = 7.9703 Å
α = 119.54°, β = 120.00°, γ = 90.00°
Last column: magnetic moment on the atom in μB.
Element x y z (fractional)
Ce: 0.5000 0.5000 0.0000  0.55
Ce: 0.5000 0.5000 0.5000  0.55
Ce: 0.0000 0.5000 0.5000  0.55
Er: 0.0000 0.5000 0.0000  0.02
Th: 0.5000 0.0000 0.0000  0.03
Th: 0.5000 0.0000 0.5000  0.02
Th: 0.0000 0.0000 0.0000  0.02
Th: 0.0000 0.0000 0.5000  0.02
S: 0.2436 0.7413 0.9977  -0.01
S: 0.2436 0.7413 0.4872  -0.01
S: 0.2512 0.2537 0.5025  -0.01
S: 0.7541 0.7413 0.9977  -0.01
S: 0.2459 0.2587 0.0023  -0.01
S: 0.7488 0.7463 0.4975  -0.01
S: 0.7564 0.2587 0.5128  -0.01
S: 0.7564 0.2587 0.0023  -0.01

Summary:
Symmetry: No. 166


First-principles (PBE) data for a relaxed CdInOs2 crystal, as listed in the Alexandria database.

a = 5.5045 Å, b = 5.5045 Å, c = 5.0048 Å
α = 67.89°, β = 67.89°, γ = 30.24°
Element x y z (fractional)
Cd: 0.5205 0.5205 0.4261
Os: 0.9727 0.9727 0.9487
Os: 0.2771 0.2771 0.3025
In: 0.7297 0.7297 0.8228

Summary:
Symmetry: No. 8


First-principles (PBE) data for a relaxed Ac4Pb2Br crystal, as listed in the Alexandria database.

a = 7.6899 Å, b = 7.5157 Å, c = 10.2275 Å
α = 90.00°, β = 109.13°, γ = 90.00°
Element x y z (fractional)
Ac: 0.5277 0.4979 0.2500
Ac: 0.0566 0.7500 0.8567
Ac: 0.9434 0.2500 0.1433
Ac: 0.5277 0.0021 0.2500
Ac: 0.9456 0.2500 0.5629
Ac: 0.4723 0.9979 0.7500
Ac: 0.4723 0.5021 0.7500
Ac: 0.0544 0.7500 0.4371
Pb: 0.7072 0.7500 0.0442
Pb: 0.2928 0.2500 0.9558
Pb: 0.3116 0.2500 0.4463
Pb: 0.6884 0.7500 0.5537
Br: 0.1805 0.7500 0.1778
Br: 0.8195 0.2500 0.8222

Summary:
Relative energy among the computed polymorphs: 0.0 meV per atom
Symmetry: No. 11


First-principles (PBE) data for a relaxed TmSnHg3 crystal, as listed in the Alexandria database.

a = 6.5794 Å, b = 7.6857 Å, c = 10.0744 Å
α = 90.00°, β = 90.00°, γ = 90.00°
Element x y z (fractional)
Tm: 0.7500 0.3329 0.5769
Tm: 0.2500 0.1671 0.0769
Tm: 0.2500 0.6671 0.4231
Tm: 0.7500 0.8329 0.9231
Sn: 0.0000 0.0000 0.5000
Sn: 0.5000 0.5000 0.0000
Sn: 0.0000 0.5000 0.0000
Sn: 0.5000 0.0000 0.5000
Hg: 0.0152 0.8440 0.1919
Hg: 0.5152 0.6560 0.6919
Hg: 0.9848 0.6560 0.6919
Hg: 0.5152 0.1560 0.8081
Hg: 0.9848 0.1560 0.8081
Hg: 0.4848 0.3440 0.3081
Hg: 0.0152 0.3440 0.3081
Hg: 0.4848 0.8440 0.1919
Hg: 0.7500 0.1546 0.1075
Hg: 0.2500 0.3454 0.6075
Hg: 0.2500 0.8454 0.8925
Hg: 0.7500 0.6546 0.3925

Summary:
Symmetry: No. 62


First-principles (PBE) data for a relaxed PrInAu2 crystal, as listed in the Alexandria database.

a = 3.5164 Å, b = 5.4047 Å, c = 5.4047 Å
α = 98.30°, β = 90.00°, γ = 90.00°
Element x y z (fractional)
Pr: 0.0000 0.0973 0.9027
In: 0.5000 0.5107 0.4893
Au: 0.5000 0.6040 0.9968
Au: 0.5000 0.0032 0.3960

Summary:
Symmetry: No. 38


What density values result from the calculations? In sequence: 7.80, 8.75, 11.18, 6.74, 8.72, 8.02, 13.94, 8.05, 14.35, 8.34, 11.60, 10.61 g cm⁻³.
What total DFT energy (no corrections) values result from the calculations? In sequence: -54.31, -51.19, -10.77, -16.39, -10.42, -20.02, -24.21, -116.00, -24.01, -59.46, -41.70, -15.97 eV/cell.